1.
The following is a DFT calculation (meta-GGA SCAN) of a PBEsol-optimized structure of TaMnW3.

Structure (CIF):
```
data_TaMnW3
_chemical_formula_sum 'Ta1 Mn1 W3'
_cell_length_a 4.411
_cell_length_b 4.411
_cell_length_c 4.411
_cell_angle_alpha 90.00
_cell_angle_beta 90.00
_cell_angle_gamma 90.00
_space_group_name_H-M_alt 'P m -3 m'
_space_group_IT_number 221
_space_group_name_Hall '-P 4 2 3'
loop_
_atom_site_label
_atom_site_type_symbol
_atom_site_fract_x
_atom_site_fract_y
_atom_site_fract_z
Ta1 Ta 0.000 0.000 0.000
Mn1 Mn 0.500 0.500 0.500
W1 W 0.000 0.500 0.500
```

Calculated values
V: 86 Å³/cell
N(E_F): 1.0785 states/eV/atom
magnetization: 0.0 μB per formula unit
DFT formation energy: 6.46 eV/f.u.

***

2.
The following is a DFT calculation (meta-GGA SCAN) of a PBEsol-optimized structure of LiSbI2N.

Structure (CIF):
```
data_LiSbI2N
_chemical_formula_sum 'Li1 Sb1 I2 N1'
_cell_length_a 6.125
_cell_length_b 6.125
_cell_length_c 3.972
_cell_angle_alpha 90.00
_cell_angle_beta 90.00
_cell_angle_gamma 90.00
_space_group_name_H-M_alt 'P 4/m m m'
_space_group_IT_number 123
_space_group_name_Hall '-P 4 2'
loop_
_atom_site_label
_atom_site_type_symbol
_atom_site_fract_x
_atom_site_fract_y
_atom_site_fract_z
Li1 Li 0.000 0.000 0.000
Sb1 Sb 0.500 0.500 0.500
I1 I 0.000 0.500 0.500
N1 N 0.500 0.500 0.000
```

Calculated values
V: 149 Å³/cell
N(E_F): 0.1087 states/eV/atom
E above lowest polymorph: 0 meV/atom
magnetization: 0.0 μB per formula unit

***

3.
The following is a DFT calculation (meta-GGA SCAN) of a PBEsol-optimized structure of CoIr2Pt.

Structure (CIF):
```
data_CoIr2Pt
_chemical_formula_sum 'Co2 Ir4 Pt2'
_cell_length_a 8.842
_cell_length_b 2.682
_cell_length_c 4.630
_cell_angle_alpha 90.00
_cell_angle_beta 100.63
_cell_angle_gamma 90.00
_space_group_name_H-M_alt 'C 1 2/m 1'
_space_group_IT_number 12
_space_group_name_Hall '-C 2y'
loop_
_atom_site_label
_atom_site_type_symbol
_atom_site_fract_x
_atom_site_fract_y
_atom_site_fract_z
Co1 Co 0.000 0.000 0.000
Ir1 Ir 0.244 0.500 0.240
Pt1 Pt 0.000 0.500 0.500
```

Calculated values
V: 108 Å³/cell
N(E_F): 0.8992 states/eV/atom
E above lowest polymorph: 7 meV/atom
magnetization: 2.5 μB per formula unit
DFT formation energy: -0.04 eV/f.u.

***

4.
The following is a DFT calculation (meta-GGA SCAN) of a PBEsol-optimized structure of MnCoSi2.

Structure (CIF):
```
data_MnCoSi2
_chemical_formula_sum 'Mn3 Co3 Si6'
_cell_length_a 2.6799
_cell_length_b 2.6799
_cell_length_c 22.4382
_cell_angle_alpha 90.00
_cell_angle_beta 90.00
_cell_angle_gamma 120.00
_space_group_name_H-M_alt 'R 3 m'
_space_group_IT_number 160
_space_group_name_Hall 'R 3 -2"'
loop_
_atom_site_label
_atom_site_type_symbol
_atom_site_fract_x
_atom_site_fract_y
_atom_site_fract_z
Mn1 Mn 0.0000 0.0000 0.0000
Co1 Co 0.0000 0.0000 0.2467
Si1 Si 0.0000 0.0000 0.5049
Si2 Si 0.0000 0.0000 0.7465
```

Calculated values
V: 140 Å³/cell
N(E_F): 0.6253 states/eV/atom
E above lowest polymorph: 497 meV/atom
magnetization: 3.6 μB per formula unit

***

5.
The following is a DFT calculation (meta-GGA SCAN) of a PBEsol-optimized structure of FeTcHg2.

Structure (CIF):
```
data_FeTcHg2
_chemical_formula_sum 'Fe4 Tc4 Hg8'
_cell_length_a 6.397
_cell_length_b 6.397
_cell_length_c 6.397
_cell_angle_alpha 90.00
_cell_angle_beta 90.00
_cell_angle_gamma 90.00
_space_group_name_H-M_alt 'F m -3 m'
_space_group_IT_number 225
_space_group_name_Hall '-F 4 2 3'
loop_
_atom_site_label
_atom_site_type_symbol
_atom_site_fract_x
_atom_site_fract_y
_atom_site_fract_z
Fe1 Fe 0.000 0.000 0.000
Tc1 Tc 0.000 0.000 0.500
Hg1 Hg 0.250 0.250 0.250
```

Calculated values
V: 262 Å³/cell
N(E_F): 0.6963 states/eV/atom
magnetization: 4.5 μB per formula unit
DFT formation energy: 2.60 eV/f.u.

***

6.
The following is a DFT calculation (meta-GGA SCAN) of a PBEsol-optimized structure of Be2BiAuCl.

Structure (CIF):
```
data_Be2BiAuCl
_chemical_formula_sum 'Be2 Bi1 Au1 Cl1'
_cell_length_a 4.398
_cell_length_b 4.398
_cell_length_c 5.607
_cell_angle_alpha 90.00
_cell_angle_beta 90.00
_cell_angle_gamma 90.00
_space_group_name_H-M_alt 'P 4/m m m'
_space_group_IT_number 123
_space_group_name_Hall '-P 4 2'
loop_
_atom_site_label
_atom_site_type_symbol
_atom_site_fract_x
_atom_site_fract_y
_atom_site_fract_z
Be1 Be 0.000 0.500 0.000
Bi1 Bi 0.000 0.000 0.500
Au1 Au 0.000 0.000 0.000
Cl1 Cl 0.500 0.500 0.500
```

Calculated values
V: 108 Å³/cell
N(E_F): 0.4103 states/eV/atom
E: -163.35 eV/f.u.
magnetization: 0.0 μB per formula unit